[1]
PBE Tb6Pm, relaxed; E = -4.391 eV/atom; symmetry = P4/nbm (125); mass density = 7.74 Mg/m³; energy relative to the lowest polymorph listed for this composition = 0.000 eV per formula unit
1.0
6.531 0.000 0.000
0.000 6.531 0.000
0.000 0.000 11.043
Tb Pm
12 2
direct
0.500 0.500 0.140
0.000 0.000 0.140
0.000 0.000 0.860
0.500 0.500 0.860
0.832 0.668 0.363
0.332 0.832 0.363
0.668 0.168 0.363
0.168 0.332 0.363
0.668 0.832 0.637
0.168 0.668 0.637
0.832 0.332 0.637
0.332 0.168 0.637
0.500 0.000 0.000
0.000 0.500 0.000

---

[2]
PBE Tb3Pm7, relaxed; E = -4.539 eV/atom; symmetry = P6_3mc (186); mass density = 7.30 Mg/m³; energy relative to the lowest polymorph listed for this composition = 1.610 eV per formula unit
1.0
-5.189 -0.392 3.464
-6.200 -0.248 -9.317
3.726 -9.549 4.500
Tb Pm
6 14
direct
0.863 0.217 0.435
0.863 0.217 0.783
0.863 0.565 0.783
0.363 0.783 0.565
0.363 0.783 0.217
0.363 0.435 0.217
0.958 0.667 0.333
0.458 0.333 0.667
0.876 0.883 0.767
0.876 0.883 0.117
0.876 0.233 0.117
0.376 0.117 0.233
0.376 0.117 0.883
0.376 0.767 0.883
0.245 0.472 0.944
0.245 0.472 0.528
0.245 0.056 0.528
0.745 0.528 0.056
0.745 0.528 0.472
0.745 0.944 0.472

---

Question: What is the energy relative to the lowest polymorph listed for this composition in the first record?
Answer: 0.000 eV per formula unit

---

Question: Among the records above, which one has the highest energy relative to the lowest polymorph listed for this composition?
Answer: Tb3Pm7